This record from Alexandria via LeMat-Bulk describes CrCd3 after structural relaxation. The functional is GGA-PBE.

Values from the calculation:
* spin magnetization: 4.45 μB per formula unit
* symmetry: No. 223
* energy of formation: 325.8 meV per atom

```
CrCd3
1.0
5.5430 0.0000 0.0000
0.0000 5.5430 0.0000
0.0000 0.0000 5.5430
Cr Cd
2 6
Direct
0.0000 0.0000 0.0000
0.5000 0.5000 0.5000
0.0000 0.2500 0.5000
0.0000 0.7500 0.5000
0.2500 0.5000 0.0000
0.5000 0.0000 0.2500
0.5000 0.0000 0.7500
0.7500 0.5000 0.0000
```